Record 1
{"formula": "Na4B5C3", "functional": "GGA-PBE", "state": "relaxed", "space_group": "C2/m (12)", "crystal_system": "monoclinic", "de_polymorph_ev_per_atom": 0.012, "total_energy_ev_per_atom": -5.455, "e_form_ev_per_atom": 0.072, "lattice": [[8.8613, -1.4171, 0.0000], [8.8613, 1.4171, 0.0000], [-2.8631, 0.0000, 9.6519]], "species": ["Na", "Na", "Na", "Na", "Na", "Na", "Na", "Na", "B", "B", "B", "B", "B", "B", "B", "B", "B", "B", "C", "C", "C", "C", "C", "C"], "frac_coords": [[0.0000, 0.0000, 0.0000], [0.0000, 0.0000, 0.5000], [0.2496, 0.2496, 0.1241], [0.2514, 0.2514, 0.6258], [0.4981, 0.4981, 0.7488], [0.5019, 0.5019, 0.2512], [0.7486, 0.7486, 0.3742], [0.7504, 0.7504, 0.8759], [0.1254, 0.1254, 0.2311], [0.1252, 0.1252, 0.4093], [0.1249, 0.1249, 0.8915], [0.3753, 0.3753, 0.3486], [0.3747, 0.3747, 0.8689], [0.6253, 0.6253, 0.1311], [0.6247, 0.6247, 0.6514], [0.8751, 0.8751, 0.1085], [0.8748, 0.8748, 0.5907], [0.8746, 0.8746, 0.7689], [0.1243, 0.1243, 0.7290], [0.3745, 0.3745, 0.0288], [0.3750, 0.3750, 0.5126], [0.6250, 0.6250, 0.4874], [0.6255, 0.6255, 0.9712], [0.8757, 0.8757, 0.2710]]}

***

Record 2
{"formula": "Na6B7C5", "functional": "GGA-PBE", "state": "relaxed", "space_group": "R32 (155)", "crystal_system": "trigonal", "de_polymorph_ev_per_atom": 0.021, "total_energy_ev_per_atom": -5.526, "e_form_ev_per_atom": 0.072, "lattice": [[2.4701, 1.4261, 8.4760], [-2.4701, 1.4261, 8.4760], [0.0000, -2.8523, 8.4760]], "species": ["Na", "Na", "Na", "Na", "Na", "Na", "B", "B", "B", "B", "B", "B", "B", "C", "C", "C", "C", "C"], "frac_coords": [[0.0835, 0.7492, 0.4175], [0.2508, 0.9165, 0.5825], [0.4175, 0.0835, 0.7492], [0.5825, 0.2508, 0.9165], [0.7492, 0.4175, 0.0835], [0.9165, 0.5825, 0.2508], [0.0000, 0.0000, 0.0000], [0.0000, 0.3471, 0.6529], [0.1667, 0.1667, 0.1667], [0.3471, 0.6529, 0.0000], [0.5000, 0.5000, 0.5000], [0.6529, 0.0000, 0.3471], [0.8333, 0.8333, 0.8333], [0.1666, 0.5000, 0.8334], [0.3333, 0.3333, 0.3333], [0.5000, 0.8334, 0.1666], [0.6667, 0.6667, 0.6667], [0.8334, 0.1666, 0.5000]]}

***

Record 3
{"formula": "Na4B5C3", "functional": "GGA-PBE", "state": "relaxed", "space_group": "Amm2 (38)", "crystal_system": "orthorhombic", "de_polymorph_ev_per_atom": 0.019, "total_energy_ev_per_atom": -5.448, "e_form_ev_per_atom": 0.080, "lattice": [[2.8276, 0.0000, 0.0000], [0.0000, 8.5071, 5.0376], [0.0000, -8.5071, 5.0376]], "species": ["Na", "Na", "Na", "Na", "Na", "Na", "Na", "Na", "B", "B", "B", "B", "B", "B", "B", "B", "B", "B", "C", "C", "C", "C", "C", "C"], "frac_coords": [[0.0000, 0.1256, 0.8744], [0.0000, 0.3731, 0.6259], [0.0000, 0.6259, 0.3731], [0.0000, 0.8744, 0.1256], [0.5000, 0.1247, 0.3758], [0.5000, 0.3758, 0.1247], [0.5000, 0.6219, 0.8762], [0.5000, 0.8762, 0.6219], [0.0000, 0.1786, 0.1786], [0.0000, 0.3485, 0.3485], [0.0000, 0.4153, 0.9146], [0.0000, 0.8118, 0.8118], [0.0000, 0.9146, 0.4153], [0.5000, 0.0780, 0.0780], [0.5000, 0.1657, 0.6644], [0.5000, 0.5814, 0.5814], [0.5000, 0.6644, 0.1657], [0.5000, 0.9139, 0.9139], [0.0000, 0.0829, 0.5818], [0.0000, 0.5818, 0.0829], [0.0000, 0.6587, 0.6587], [0.5000, 0.3333, 0.8313], [0.5000, 0.4243, 0.4243], [0.5000, 0.8313, 0.3333]]}